A plane-wave DFT calculation with PBE was carried out for a relaxed Dy4CdHgAu2 crystal.

a b c (Å): 8.975 8.975 8.975
angles (deg): 33.52 33.52 33.52
Positions (direct):
Dy 0.123 0.123 0.123
Dy 0.374 0.374 0.374
Dy 0.626 0.626 0.626
Dy 0.877 0.877 0.877
Cd 0.500 0.500 0.500
Hg 0.000 0.000 0.000
Au 0.245 0.245 0.245
Au 0.755 0.755 0.755

Its space group is R-3m. The total DFT energy (no corrections) is -3.887 eV/atom. As for the density of states at the Fermi level: 4.8 states/eV per cell.